DFT (GGA-PBE) results for SrMgH8Pd2 after structural relaxation.

**Electronic total energy**: -3.477 eV per atom
**Magnetization**: 0.000 Bohr magnetons per cell

```
data_SrMgH8Pd2
_cell_length_a 4.9503
_cell_length_b 4.9503
_cell_length_c 17.3767
_cell_angle_alpha 90.00
_cell_angle_beta 90.00
_cell_angle_gamma 120.00
_symmetry_space_group_name_H-M 'R -3'
_symmetry_Int_Tables_number 148
_symmetry_space_group_name_Hall '-R 3'
loop_
_atom_site_label
_atom_site_type_symbol
_atom_site_fract_x
_atom_site_fract_y
_atom_site_fract_z
_atom_site_occupancy
Sr1 Sr 0.0000 0.0000 0.0000 1
Mg1 Mg 0.0000 0.0000 0.5000 1
H1 H 0.0000 0.0000 0.3080 1
H2 H 0.0007 0.3076 0.8913 1
Pd1 Pd 0.0000 0.0000 0.2148 1
```